1.
VASP calculation (PBE with a Hubbard U) on a relaxed structure of NaEuNi4O12.

Output
Calculated total energy in eV/atom: -4.923
Spin magnetization in Bohr magnetons per cell: 10.13
Calculated density in g/cm3: 4.81

Cell lengths 7.8194, 5.1593, 5.1593 Å; angles 86.01, 90.00, 90.00 degrees
Closest atoms and distances in Å follow each position.
Fractional positions:
Na1 0.0000 0.0000 0.0000  4 O 2.21-2.28
Eu1 0.5000 0.5552 0.5552  8 O 2.31-2.55
Ni1 0.2447 0.0331 0.5236  6 O 1.84-2.03
Ni2 0.2447 0.5236 0.0331  6 O 1.84-2.03
Ni3 0.7553 0.0331 0.5236  6 O 1.84-2.03
Ni4 0.7553 0.5236 0.0331  6 O 1.84-2.03
O1 0.0000 0.0001 0.5578  2 Ni 1.93
O2 0.0000 0.5578 0.0001  2 Ni 1.93
O3 0.1993 0.2069 0.2069  2 Ni 1.84
O4 0.2515 0.3546 0.7048  2 Ni 1.96
O5 0.2515 0.7048 0.3546  2 Ni 1.96
O6 0.3067 0.8277 0.8277  2 Ni 1.89
O7 0.5000 0.0911 0.4774  2 Ni 2.03
O8 0.5000 0.4774 0.0911  2 Ni 2.03
O9 0.6933 0.8277 0.8277  2 Ni 1.89
O10 0.7485 0.3546 0.7048  2 Ni 1.96
O11 0.7485 0.7048 0.3546  2 Ni 1.96
O12 0.8007 0.2069 0.2069  2 Ni 1.84

---

2.
VASP calculation (PBE with a Hubbard U) on a relaxed structure of NaPrEuNiO6.

Output
Calculated total energy in eV/atom: -6.616
Spin magnetization in Bohr magnetons per cell: 10.01
Calculated density in g/cm3: 6.07

Cell lengths 5.1889, 5.1889, 9.5544 Å; angles 90.00, 90.00, 90.00 degrees
Closest atoms and distances in Å follow each position.
Fractional positions:
Na1 0.0000 0.0000 0.0000  4 O 2.19
Na2 0.5000 0.5000 0.5000  4 O 2.19
Pr1 0.0000 0.5000 0.7500  8 O 2.47-2.60
Pr2 0.5000 0.0000 0.2500  8 O 2.47-2.60
Eu1 0.0000 0.5000 0.2500  8 O 2.54-2.60
Eu2 0.5000 0.0000 0.7500  8 O 2.54-2.60
Ni1 0.0000 0.0000 0.5000  6 O 2.07-2.21
Ni2 0.5000 0.5000 0.0000  6 O 2.07-2.21
O1 0.0000 0.0000 0.2689  1 Ni 2.21
O2 0.0000 0.0000 0.7311  1 Ni 2.21
O3 0.0937 0.3870 0.5035  1 O 1.52
O4 0.1130 0.4063 0.9965  1 O 1.52
O5 0.3870 0.9063 0.4965  1 O 1.52
O6 0.4063 0.8870 0.0035  1 O 1.52
O7 0.5000 0.5000 0.2311  1 Ni 2.21
O8 0.5000 0.5000 0.7689  1 Ni 2.21
O9 0.5937 0.1130 0.0035  1 O 1.52
O10 0.6130 0.0937 0.4965  1 O 1.52
O11 0.8870 0.5937 0.9965  1 O 1.52
O12 0.9063 0.6130 0.5035  1 O 1.52

---

Repeat the first record exactly.
VASP calculation (PBE with a Hubbard U) on a relaxed structure of NaEuNi4O12.

Output
Calculated total energy in eV/atom: -4.923
Spin magnetization in Bohr magnetons per cell: 10.13
Calculated density in g/cm3: 4.81

Cell lengths 7.8194, 5.1593, 5.1593 Å; angles 86.01, 90.00, 90.00 degrees
Closest atoms and distances in Å follow each position.
Fractional positions:
Na1 0.0000 0.0000 0.0000  4 O 2.21-2.28
Eu1 0.5000 0.5552 0.5552  8 O 2.31-2.55
Ni1 0.2447 0.0331 0.5236  6 O 1.84-2.03
Ni2 0.2447 0.5236 0.0331  6 O 1.84-2.03
Ni3 0.7553 0.0331 0.5236  6 O 1.84-2.03
Ni4 0.7553 0.5236 0.0331  6 O 1.84-2.03
O1 0.0000 0.0001 0.5578  2 Ni 1.93
O2 0.0000 0.5578 0.0001  2 Ni 1.93
O3 0.1993 0.2069 0.2069  2 Ni 1.84
O4 0.2515 0.3546 0.7048  2 Ni 1.96
O5 0.2515 0.7048 0.3546  2 Ni 1.96
O6 0.3067 0.8277 0.8277  2 Ni 1.89
O7 0.5000 0.0911 0.4774  2 Ni 2.03
O8 0.5000 0.4774 0.0911  2 Ni 2.03
O9 0.6933 0.8277 0.8277  2 Ni 1.89
O10 0.7485 0.3546 0.7048  2 Ni 1.96
O11 0.7485 0.7048 0.3546  2 Ni 1.96
O12 0.8007 0.2069 0.2069  2 Ni 1.84